1.
# RbBaBr2

A relaxed structure of RbBaBr2 (PBE-GGA, Alexandria).

abc: 4.476 4.476 9.611
angles: 76.53 76.53 60.00
Fractional positions:
1 Rb 0.499 0.499 0.503
2 Ba 0.667 0.667 0.998
3 Br 0.084 0.084 0.748
4 Br 0.250 0.250 0.251

Summary:
Fermi-level density of states ... 0.93 states/eV/cell
Magnetization ... 0.64 μB/f.u.
SG ... No. 160


2.
# RbBaBr2

A relaxed structure of RbBaBr2 (PBE-GGA, Alexandria).

abc: 10.584 10.584 10.584
angles: 27.97 27.97 27.97
Fractional positions:
1 Br 0.881 0.881 0.881
2 Br 0.119 0.119 0.119
3 Ba 0.500 0.500 0.500
4 Rb 0.000 0.000 0.000

Summary:
Fermi-level density of states ... 1.61 states/eV/cell
Magnetization ... 0.00 μB/f.u.
SG ... No. 166


2 (6 meV/atom below the next structure)


1.
# RbBaBr2

A relaxed structure of RbBaBr2 (PBE-GGA, Alexandria).

abc: 4.112 4.112 8.597
angles: 90.00 90.00 90.00
Fractional positions:
1 Br 0.000 0.000 0.765
2 Br 0.000 0.000 0.235
3 Ba 0.500 0.500 0.000
4 Rb 0.500 0.500 0.500

Summary:
Fermi-level density of states ... 1.41 states/eV/cell
Magnetization ... 0.60 μB/f.u.
SG ... No. 123


2.
# RbBaBr2

A relaxed structure of RbBaBr2 (PBE-GGA, Alexandria).

abc: 5.893 5.893 5.893
angles: 60.00 60.00 60.00
Fractional positions:
1 Br 0.250 0.250 0.250
2 Br 0.750 0.750 0.750
3 Ba 0.500 0.500 0.500
4 Rb 0.000 0.000 0.000

Summary:
Fermi-level density of states ... 3.27 states/eV/cell
Magnetization ... 0.88 μB/f.u.
SG ... No. 225


3.
# RbBaBr2

A relaxed structure of RbBaBr2 (PBE-GGA, Alexandria).

abc: 7.822 7.822 9.465
angles: 65.59 65.59 90.00
Fractional positions:
1 Br 0.658 0.125 0.250
2 Br 0.092 0.625 0.250
3 Br 0.375 0.342 0.750
4 Br 0.875 0.908 0.750
5 Ba 0.000 0.000 0.000
6 Ba 0.750 0.250 0.500
7 Rb 0.500 0.500 0.000
8 Rb 0.250 0.750 0.500

Summary:
Fermi-level density of states ... 7.77 states/eV/cell
Magnetization ... 0.30 μB/f.u.
SG ... No. 122


1 (34 meV/atom below the next structure)


1.
# Rb2BaBr2

A relaxed structure of Rb2BaBr2 (PBE-GGA, Alexandria).

abc: 9.192 9.192 6.603
angles: 90.00 90.00 90.00
Fractional positions:
1 Br 0.286 0.786 0.000
2 Br 0.786 0.714 0.000
3 Br 0.714 0.214 0.000
4 Br 0.214 0.286 0.000
5 Ba 0.000 0.000 0.000
6 Ba 0.500 0.500 0.000
7 Rb 0.180 0.680 0.500
8 Rb 0.680 0.820 0.500
9 Rb 0.820 0.320 0.500
10 Rb 0.320 0.180 0.500

Summary:
Fermi-level density of states ... 2.63 states/eV/cell
Magnetization ... 0.00 μB/f.u.
SG ... No. 127


2.
# Rb2BaBr2

A relaxed structure of Rb2BaBr2 (PBE-GGA, Alexandria).

abc: 5.960 5.960 9.273
angles: 71.26 71.26 90.00
Fractional positions:
1 Br 0.349 0.349 0.302
2 Br 0.651 0.651 0.698
3 Ba 0.000 0.000 0.000
4 Rb 0.750 0.250 0.500
5 Rb 0.250 0.750 0.500

Summary:
Fermi-level density of states ... 0.00 states/eV/cell
Magnetization ... 0.00 μB/f.u.
SG ... No. 139


1 (221 meV/atom below the next structure)


1.
# RbBa3Br

A relaxed structure of RbBa3Br (PBE-GGA, Alexandria).

abc: 7.208 7.208 7.208
angles: 90.00 90.00 90.00
Fractional positions:
1 Br 0.500 0.500 0.500
2 Ba 0.000 0.500 0.000
3 Ba 0.000 0.000 0.500
4 Ba 0.500 0.000 0.000
5 Rb 0.000 0.000 0.000

Summary:
Fermi-level density of states ... 7.18 states/eV/cell
Magnetization ... 3.94 μB/f.u.
SG ... No. 221


2.
# RbBa3Br

A relaxed structure of RbBa3Br (PBE-GGA, Alexandria).

abc: 6.700 6.700 6.700
angles: 90.00 90.00 90.00
Fractional positions:
1 Br 0.000 0.000 0.000
2 Ba 0.000 0.500 0.000
3 Ba 0.000 0.000 0.500
4 Ba 0.500 0.000 0.000
5 Rb 0.500 0.500 0.500

Summary:
Fermi-level density of states ... 7.25 states/eV/cell
Magnetization ... 1.82 μB/f.u.
SG ... No. 221


2 (821 meV/atom below the next structure)